1.
# ZnCdSn, relaxed, DFT PBE
data_ZnCdSn
_cell_length_a 4.376
_cell_length_b 5.159
_cell_length_c 6.894
_cell_angle_alpha 76.27
_cell_angle_beta 72.77
_cell_angle_gamma 70.04
_symmetry_space_group_name_H-M 'P -1'
_symmetry_Int_Tables_number 2
loop_
_symmetry_equiv_pos_as_xyz
'x,y,z'
'-x,-y,-z'
loop_
_atom_site_label
_atom_site_type_symbol
_atom_site_fract_x
_atom_site_fract_y
_atom_site_fract_z
Zn1 Zn 0.114 0.412 0.328
Cd1 Cd 0.404 0.821 0.370
Sn1 Sn 0.207 0.734 0.909
# Spin magnetization = 0.0 μB per formula unit
# DFT total energy = -1.9981 eV per atom
# DOS(E_F) = 1.86 states/eV per cell

2.
# Zn2CdSn2, relaxed, DFT PBE
data_Zn2CdSn2
_cell_length_a 4.428
_cell_length_b 4.428
_cell_length_c 12.231
_cell_angle_alpha 90.00
_cell_angle_beta 90.00
_cell_angle_gamma 90.00
_symmetry_space_group_name_H-M 'I 4/m m m'
_symmetry_Int_Tables_number 139
_symmetry_space_group_name_Hall '-I 4 2'
loop_
_atom_site_label
_atom_site_type_symbol
_atom_site_fract_x
_atom_site_fract_y
_atom_site_fract_z
Zn1 Zn 0.000 0.000 0.098
Cd1 Cd 0.000 0.000 0.500
Sn1 Sn 0.000 0.500 0.250
# Spin magnetization = 0.0 μB per formula unit
# DFT total energy = -2.1444 eV per atom
# Offset from the most stable computed form = 58.7 meV/atom
# DOS(E_F) = 4.23 states/eV per cell

3.
# Zn2CdSn, relaxed, DFT PBE
data_Zn2CdSn
_cell_length_a 4.5701
_cell_length_b 4.5701
_cell_length_c 14.1503
_cell_angle_alpha 90.00
_cell_angle_beta 90.00
_cell_angle_gamma 120.00
_symmetry_space_group_name_H-M 'R -3 m'
_symmetry_Int_Tables_number 166
_symmetry_space_group_name_Hall '-R 3 2"'
loop_
_atom_site_label
_atom_site_type_symbol
_atom_site_fract_x
_atom_site_fract_y
_atom_site_fract_z
Zn1 Zn 0.0000 0.0000 0.2412
Cd1 Cd 0.0000 0.0000 0.5000
Sn1 Sn 0.0000 0.0000 0.0000
# Spin magnetization = 0.0 μB per formula unit
# DFT total energy = -1.7328 eV per atom
# Offset from the most stable computed form = 10.6 meV/atom
# DOS(E_F) = 3.77 states/eV per cell

4.
# ZnCd2Sn2, relaxed, DFT PBE
data_ZnCd2Sn2
_cell_length_a 7.363
_cell_length_b 7.363
_cell_length_c 4.725
_cell_angle_alpha 90.00
_cell_angle_beta 90.00
_cell_angle_gamma 90.00
_symmetry_space_group_name_H-M 'P 4/m b m'
_symmetry_Int_Tables_number 127
_symmetry_space_group_name_Hall '-P 4 2ab'
loop_
_atom_site_label
_atom_site_type_symbol
_atom_site_fract_x
_atom_site_fract_y
_atom_site_fract_z
Zn1 Zn 0.000 0.000 0.000
Cd1 Cd 0.162 0.338 0.500
Sn1 Sn 0.149 0.649 0.000
# Spin magnetization = 0.0 μB per formula unit
# DFT total energy = -2.0760 eV per atom
# Offset from the most stable computed form = 0.0 meV/atom
# DOS(E_F) = 5.77 states/eV per cell

5.
# ZnCd2Sn2, relaxed, DFT PBE
data_ZnCd2Sn2
_cell_length_a 7.249
_cell_length_b 7.249
_cell_length_c 4.729
_cell_angle_alpha 90.00
_cell_angle_beta 90.00
_cell_angle_gamma 90.00
_symmetry_space_group_name_H-M 'P 4/m b m'
_symmetry_Int_Tables_number 127
_symmetry_space_group_name_Hall '-P 4 2ab'
loop_
_atom_site_label
_atom_site_type_symbol
_atom_site_fract_x
_atom_site_fract_y
_atom_site_fract_z
Zn1 Zn 0.000 0.000 0.000
Cd1 Cd 0.144 0.356 0.000
Sn1 Sn 0.167 0.667 0.500
# Spin magnetization = 0.0 μB per formula unit
# DFT total energy = -2.0595 eV per atom
# Offset from the most stable computed form = 16.5 meV/atom
# DOS(E_F) = 4.34 states/eV per cell

6.
# ZnCd2Sn, relaxed, DFT PBE
data_ZnCd2Sn
_cell_length_a 4.262
_cell_length_b 4.262
_cell_length_c 20.772
_cell_angle_alpha 90.00
_cell_angle_beta 90.00
_cell_angle_gamma 90.00
_symmetry_space_group_name_H-M 'I -4 2 d'
_symmetry_Int_Tables_number 122
_symmetry_space_group_name_Hall 'I -4 2bw'
loop_
_atom_site_label
_atom_site_type_symbol
_atom_site_fract_x
_atom_site_fract_y
_atom_site_fract_z
Zn1 Zn 0.000 0.000 0.000
Cd1 Cd 0.236 0.250 0.125
Sn1 Sn 0.000 0.000 0.500
# Spin magnetization = 0.0 μB per formula unit
# DFT total energy = -1.6548 eV per atom
# Offset from the most stable computed form = 36.1 meV/atom
# DOS(E_F) = 6.24 states/eV per cell

Copy entry 6 word for word.
# ZnCd2Sn, relaxed, DFT PBE
data_ZnCd2Sn
_cell_length_a 4.262
_cell_length_b 4.262
_cell_length_c 20.772
_cell_angle_alpha 90.00
_cell_angle_beta 90.00
_cell_angle_gamma 90.00
_symmetry_space_group_name_H-M 'I -4 2 d'
_symmetry_Int_Tables_number 122
_symmetry_space_group_name_Hall 'I -4 2bw'
loop_
_atom_site_label
_atom_site_type_symbol
_atom_site_fract_x
_atom_site_fract_y
_atom_site_fract_z
Zn1 Zn 0.000 0.000 0.000
Cd1 Cd 0.236 0.250 0.125
Sn1 Sn 0.000 0.000 0.500
# Spin magnetization = 0.0 μB per formula unit
# DFT total energy = -1.6548 eV per atom
# Offset from the most stable computed form = 36.1 meV/atom
# DOS(E_F) = 6.24 states/eV per cell

> Look up the spin magnetization of the fourth one.

0.0 μB per formula unit